## SrLaTaRe2 (PBE)

Data for a relaxed structure of SrLaTaRe2.

Calculated values
Magnetic moment, μB per formula unit: 1.0
Energy relative to the elements, eV/atom: 2.889
VASP energy, eV per atom: -5.78
Calculated volume, A^3/atom: 23.984
Space group: P4/mmm

Geometry as POSCAR:
```
SrLaTaRe2
1.0
4.851 0.000 0.000
0.000 4.851 0.000
0.000 0.000 5.097
Sr La Ta Re
1 1 1 2
Direct
0.000 0.000 0.000
0.000 0.000 0.500
0.500 0.500 0.500
0.000 0.500 0.000
0.500 0.000 0.000
```

## Ni8B2Pt (PBE)

Data for a relaxed structure of Ni8B2Pt.

Calculated values
Magnetic moment, μB per formula unit: 0.0
Energy relative to the elements, eV/atom: -0.133
VASP energy, eV per atom: -6.10
Calculated volume, A^3/atom: 10.573
Space group: C2/m

Geometry as POSCAR:
```
Ni8B2Pt
1.0
3.193 -4.753 0.000
3.193 4.753 0.000
-0.897 0.000 3.832
Ni B Pt
8 2 1
Direct
0.103 0.103 0.791
0.167 0.433 0.415
0.241 0.759 0.000
0.433 0.167 0.415
0.567 0.833 0.585
0.759 0.241 0.000
0.833 0.567 0.585
0.897 0.897 0.209
0.182 0.818 0.500
0.818 0.182 0.500
0.500 0.500 0.000
```

## PrSm12Tm7 (PBE)

Data for a relaxed structure of PrSm12Tm7.

Calculated values
Magnetic moment, μB per formula unit: 0.0
Energy relative to the elements, eV/atom: 0.163
VASP energy, eV per atom: -4.47
Calculated volume, A^3/atom: 33.221
Space group: R-3
E above lowest polymorph, meV/atom: 0.0

Geometry as POSCAR:
```
PrSm12Tm7
1.0
7.549 4.358 3.366
-7.549 4.358 3.366
0.000 -8.716 3.366
Pr Sm Tm
1 12 7
Direct
0.000 0.000 0.000
0.047 0.297 0.407
0.226 0.668 0.372
0.297 0.407 0.047
0.332 0.628 0.774
0.372 0.226 0.668
0.407 0.047 0.297
0.593 0.953 0.703
0.628 0.774 0.332
0.668 0.372 0.226
0.703 0.593 0.953
0.774 0.332 0.628
0.953 0.703 0.593
0.011 0.895 0.323
0.105 0.677 0.989
0.323 0.011 0.895
0.500 0.500 0.500
0.677 0.989 0.105
0.895 0.323 0.011
0.989 0.105 0.677
```

## RbCdPt4 (PBE)

Data for a relaxed structure of RbCdPt4.

Calculated values
Magnetic moment, μB per formula unit: 0.0
Energy relative to the elements, eV/atom: -0.019
VASP energy, eV per atom: -4.36
Calculated volume, A^3/atom: 19.581
Space group: F-43m

Geometry as POSCAR:
```
RbCdPt4
1.0
0.000 3.887 3.887
3.887 0.000 3.887
3.887 3.887 0.000
Rb Cd Pt
1 1 4
Direct
0.000 0.000 0.000
0.750 0.750 0.750
0.375 0.375 0.375
0.375 0.375 0.874
0.375 0.874 0.375
0.874 0.375 0.375
```

## CaLa4PmPr2 (PBE)

Data for a relaxed structure of CaLa4PmPr2.

Calculated values
Magnetic moment, μB per formula unit: 0.0
Energy relative to the elements, eV/atom: 0.313
VASP energy, eV per atom: -4.19
Calculated volume, A^3/atom: 37.151
Space group: Imma

Geometry as POSCAR:
```
CaLa4PmPr2
1.0
-3.517 6.169 6.850
3.517 -6.169 6.850
3.517 6.169 -6.850
Ca La Pm Pr
2 8 2 4
Direct
0.500 0.000 0.000
0.500 0.500 0.500
0.236 0.748 0.488
0.240 0.252 0.988
0.250 0.279 0.529
0.250 0.722 0.971
0.750 0.278 0.029
0.750 0.721 0.471
0.760 0.748 0.012
0.764 0.252 0.512
0.000 0.000 0.000
0.500 0.000 0.500
0.000 0.000 0.500
0.000 0.500 0.000
0.000 0.500 0.500
0.500 0.500 0.000
```

## La2SF3 (PBE)

Data for a relaxed structure of La2SF3.

Calculated values
Magnetic moment, μB per formula unit: 0.6
VASP energy, eV per atom: -6.59
Calculated volume, A^3/atom: 19.291
Space group: C2/m
Raw formation energy, eV/atom: -3.319

Geometry as POSCAR:
```
La2SF3
1.0
7.812 -2.109 0.000
7.812 2.109 0.000
-4.360 0.000 7.025
La S F
4 2 6
Direct
0.007 0.007 0.242
0.279 0.279 0.256
0.721 0.721 0.744
0.993 0.993 0.758
0.360 0.360 0.992
0.640 0.640 0.008
0.112 0.112 0.650
0.184 0.184 0.401
0.432 0.432 0.585
0.568 0.568 0.415
0.816 0.816 0.599
0.888 0.888 0.350
```

DOS(E_F) readings, ordered: 1.702 1.176 1.773 1.000 1.864 0.417 states/eV/atom